# Pr3TmHg5 (PBE, relaxed)
data_Pr3TmHg5
_cell_length_a 9.3174
_cell_length_b 9.3174
_cell_length_c 6.6868
_cell_angle_alpha 90.00
_cell_angle_beta 90.00
_cell_angle_gamma 120.00
_symmetry_space_group_name_H-M 'P 63/m c m'
_symmetry_Int_Tables_number 193
_symmetry_space_group_name_Hall '-P 6c 2'
loop_
_atom_site_label
_atom_site_type_symbol
_atom_site_fract_x
_atom_site_fract_y
_atom_site_fract_z
Pr1 Pr 0.0000 0.3724 0.2500
Tm1 Tm 0.0000 0.0000 0.0000
Hg1 Hg 0.0000 0.2904 0.7500
Hg2 Hg 0.3333 0.6667 0.0000
# DFT formation energy, kcal/mol of atoms: -10.00
# Uncorrected energy, eV per cell: -48.443